No. 1
Crystalline TlZnInSn at its relaxed geometry, computed with GGA-PBE.

Cell and atoms, written as POSCAR:
```
TlZnInSn
1.0
7.462 0.000 0.000
0.000 7.462 0.000
0.000 0.000 7.462
Tl Zn In Sn
4 4 4 4
direct
0.000 0.000 0.000
0.000 0.500 0.500
0.500 0.000 0.500
0.500 0.500 0.000
0.250 0.250 0.250
0.250 0.750 0.750
0.750 0.250 0.750
0.750 0.750 0.250
0.250 0.250 0.750
0.250 0.750 0.250
0.750 0.250 0.250
0.750 0.750 0.750
0.000 0.000 0.500
0.000 0.500 0.000
0.500 0.000 0.000
0.500 0.500 0.500
```

Values from the calculation:
E_tot ... -2.49 eV/atom
Space-group type ... F-43m
ρ ... 8.05 Mg/m³
DOS at the Fermi energy ... 1.79 states/eV/f.u.

No. 2
Crystalline TmInSn4 at its relaxed geometry, computed with GGA-PBE.

Cell and atoms, written as POSCAR:
```
TmInSn4
1.0
0.000 4.370 4.370
4.370 0.000 4.370
4.370 4.370 0.000
Tm In Sn
1 1 4
direct
0.000 0.000 0.000
0.250 0.250 0.250
0.124 0.625 0.625
0.625 0.124 0.625
0.625 0.625 0.124
0.625 0.625 0.625
```

Values from the calculation:
E_tot ... -3.95 eV/atom
Space-group type ... F-43m
ρ ... 7.55 Mg/m³
DOS at the Fermi energy ... 3.02 states/eV/f.u.